(1)
Density functional theory data (meta-GGA SCAN) for a PBEsol-optimized structure of LiCu2Rh.

```
LiCu2Rh
1.0
8.5969 0.0000 0.0000
0.0000 2.5874 0.0000
-0.8336 0.0000 4.3638
Li Cu Rh
2 4 2
Direct
0.0000 0.0000 0.0000
0.5000 0.5000 0.0000
0.2536 0.5000 0.2428
0.4948 0.0000 0.4985
0.7536 0.0000 0.2428
0.9948 0.5000 0.4985
0.2421 0.0000 0.7355
0.7421 0.5000 0.7355
```

Crystal system: monoclinic
Formation energy (eV per atom): -0.044
Symmetry: Cm (8)

(2)
Density functional theory data (meta-GGA SCAN) for a PBEsol-optimized structure of Li2CuRu.

```
Li2CuRu
1.0
2.4238 0.0000 0.0000
0.0000 4.1408 0.0000
0.0000 0.0000 5.1184
Li Cu Ru
2 1 1
Direct
0.0000 0.0000 0.0000
0.5000 0.5000 0.2454
0.5000 0.5000 0.7156
0.0000 0.0000 0.5140
```

Relative energy among the computed polymorphs (meV per atom): 79
Crystal system: orthorhombic
Formation energy (eV per atom): 0.111
Symmetry: Pmm2 (25)

(3)
Density functional theory data (meta-GGA SCAN) for a PBEsol-optimized structure of Li3CuRu.

```
Li3CuRu
1.0
4.5054 0.0000 0.0000
0.0000 4.5054 0.0000
0.0000 0.0000 4.5054
Li Cu Ru
3 1 1
Direct
0.0000 0.0000 0.5000
0.0000 0.5000 0.0000
0.5000 0.0000 0.0000
0.5000 0.5000 0.5000
0.0000 0.0000 0.0000
```

Crystal system: cubic
Formation energy (eV per atom): 1.119
Symmetry: Pm-3m (221)

(4)
Density functional theory data (meta-GGA SCAN) for a PBEsol-optimized structure of Li2CuRu.

```
Li2CuRu
1.0
2.4801 0.0000 0.0000
0.0000 4.4415 0.0000
0.0000 0.0000 8.9441
Li Cu Ru
4 2 2
Direct
0.0000 0.0000 0.0000
0.0000 0.5000 0.2490
0.5000 0.0000 0.7490
0.5000 0.5000 0.5000
0.0000 0.0000 0.5130
0.5000 0.5000 0.0130
0.0000 0.5000 0.7653
0.5000 0.0000 0.2653
```

Relative energy among the computed polymorphs (meV per atom): 147
Crystal system: orthorhombic
Formation energy (eV per atom): 0.179
Symmetry: Imm2 (44)

(5)
Density functional theory data (meta-GGA SCAN) for a PBEsol-optimized structure of Li2CuRu.

```
Li2CuRu
1.0
2.4273 0.0000 0.0000
0.0000 4.3827 0.0000
-0.2163 0.0000 4.6739
Li Cu Ru
2 1 1
Direct
0.1862 0.0000 0.2400
0.8138 0.0000 0.7600
0.0000 0.5000 0.5000
0.5000 0.5000 0.0000
```

Relative energy among the computed polymorphs (meV per atom): 8
Crystal system: monoclinic
Formation energy (eV per atom): 0.039
Symmetry: P2/m (10)

(6)
Density functional theory data (meta-GGA SCAN) for a PBEsol-optimized structure of Li2CuRu.

```
Li2CuRu
1.0
8.9212 0.0000 0.0000
0.0000 2.4551 0.0000
-0.7756 0.0000 4.5396
Li Cu Ru
4 2 2
Direct
0.2447 0.0000 0.2561
0.2553 0.5000 0.7439
0.7447 0.5000 0.2561
0.7553 0.0000 0.7439
0.0000 0.5000 0.0000
0.5000 0.0000 0.0000
0.0000 0.0000 0.5000
0.5000 0.5000 0.5000
```

Relative energy among the computed polymorphs (meV per atom): 0
Crystal system: monoclinic
Formation energy (eV per atom): 0.032
Symmetry: C2/m (12)

(7)
Density functional theory data (meta-GGA SCAN) for a PBEsol-optimized structure of LiCuS2.

```
LiCuS2
1.0
7.5769 0.0000 0.0000
0.0000 3.3821 0.0000
-2.7914 0.0000 5.2049
Li Cu S
2 2 4
Direct
0.0000 0.0000 0.0000
0.5000 0.5000 0.0000
0.0000 0.0000 0.5000
0.5000 0.5000 0.5000
0.1261 0.5000 0.7684
0.3739 0.0000 0.2316
0.6261 0.0000 0.7684
0.8739 0.5000 0.2316
```

Formation energy (no corrections) (eV per formula unit): -2.5
Crystal system: monoclinic
Symmetry: C2/m (12)

(8)
Density functional theory data (meta-GGA SCAN) for a PBEsol-optimized structure of Li10Cu4S9.

```
Li10Cu4S9
1.0
11.4100 0.0000 0.0000
0.0000 11.4100 0.0000
0.0000 0.0000 5.6023
Li Cu S
20 8 18
Direct
0.0646 0.1000 0.0363
0.0646 0.4000 0.0363
0.1000 0.0646 0.5363
0.1000 0.4354 0.5363
0.2500 0.2500 0.0778
0.2500 0.2500 0.5778
0.4000 0.0646 0.5363
0.4000 0.4354 0.5363
0.4354 0.1000 0.0363
0.4354 0.4000 0.0363
0.5646 0.6000 0.9637
0.5646 0.9000 0.9637
0.6000 0.5646 0.4637
0.6000 0.9354 0.4637
0.7500 0.7500 0.4222
0.7500 0.7500 0.9222
0.9000 0.5646 0.4637
0.9000 0.9354 0.4637
0.9354 0.6000 0.9637
0.9354 0.9000 0.9637
0.0968 0.7500 0.4956
0.2500 0.5968 0.0044
0.2500 0.9032 0.0044
0.4032 0.7500 0.4956
0.5968 0.2500 0.5044
0.7500 0.0968 0.9956
0.7500 0.4032 0.9956
0.9032 0.2500 0.5044
0.0826 0.2500 0.3254
0.0913 0.5913 0.2500
0.0913 0.9087 0.2500
0.2500 0.0826 0.8254
0.2500 0.4174 0.8254
0.2500 0.7500 0.7500
0.4087 0.5913 0.2500
0.4087 0.9087 0.2500
0.4174 0.2500 0.3254
0.5826 0.7500 0.6746
0.5913 0.0913 0.7500
0.5913 0.4087 0.7500
0.7500 0.2500 0.2500
0.7500 0.5826 0.1746
0.7500 0.9174 0.1746
0.9087 0.0913 0.7500
0.9087 0.4087 0.7500
0.9174 0.7500 0.6746
```

Formation energy (no corrections) (eV per formula unit): -22.5
Crystal system: tetragonal
Symmetry: P4_2/nmc (137)

(9)
Density functional theory data (meta-GGA SCAN) for a PBEsol-optimized structure of Li3CuS3.

```
Li3CuS3
1.0
10.3619 0.0000 0.0000
0.0000 10.3619 0.0000
0.0000 0.0000 4.5968
Li Cu S
12 4 12
Direct
0.0970 0.3858 0.0000
0.1142 0.5970 0.5000
0.1595 0.8405 0.0000
0.3405 0.3405 0.5000
0.3858 0.0970 0.0000
0.4030 0.8858 0.5000
0.5970 0.1142 0.5000
0.6142 0.9030 0.0000
0.6595 0.6595 0.5000
0.8405 0.1595 0.0000
0.8858 0.4030 0.5000
0.9030 0.6142 0.0000
0.1185 0.1185 0.5000
0.3815 0.6185 0.0000
0.6185 0.3815 0.0000
0.8815 0.8815 0.5000
0.0913 0.9087 0.5000
0.1097 0.3322 0.5000
0.1678 0.6097 0.0000
0.3322 0.1097 0.5000
0.3903 0.8322 0.0000
0.4087 0.4087 0.0000
0.5913 0.5913 0.0000
0.6097 0.1678 0.0000
0.6678 0.8903 0.5000
0.8322 0.3903 0.0000
0.8903 0.6678 0.5000
0.9087 0.0913 0.5000
```

Formation energy (no corrections) (eV per formula unit): -6.7
Crystal system: tetragonal
Symmetry: P4_2/mnm (136)

(10)
Density functional theory data (meta-GGA SCAN) for a PBEsol-optimized structure of LiCuS2.

```
LiCuS2
1.0
5.8004 0.0000 0.0000
0.0000 6.4846 0.0000
0.0000 0.0000 3.3513
Li Cu S
2 2 4
Direct
0.0000 0.0000 0.0000
0.5000 0.5000 0.5000
0.0000 0.5000 0.5000
0.5000 0.0000 0.0000
0.1872 0.3518 0.0000
0.3128 0.8518 0.5000
0.6872 0.1482 0.5000
0.8128 0.6482 0.0000
```

Formation energy (no corrections) (eV per formula unit): -2.6
Crystal system: orthorhombic
Symmetry: Pnnm (58)

(11)
Density functional theory data (meta-GGA SCAN) for a PBEsol-optimized structure of LiCu2Sb.

```
LiCu2Sb
1.0
4.1479 0.0000 0.0000
0.0000 4.1479 0.0000
0.0000 0.0000 6.8063
Li Cu Sb
2 4 2
Direct
0.0000 0.0000 0.0000
0.5000 0.5000 0.5000
0.0000 0.5000 0.2500
0.0000 0.5000 0.7500
0.5000 0.0000 0.2500
0.5000 0.0000 0.7500
0.0000 0.0000 0.5000
0.5000 0.5000 0.0000
```

Formation energy (no corrections) (eV per formula unit): -0.6
Crystal system: tetragonal
Symmetry: I4/mmm (139)

(12)
Density functional theory data (meta-GGA SCAN) for a PBEsol-optimized structure of LiCu2Sb.

```
LiCu2Sb
1.0
8.5445 0.0000 0.0000
0.0000 3.0201 0.0000
-0.7336 0.0000 4.6322
Li Cu Sb
2 4 2
Direct
0.0000 0.0000 0.0000
0.5000 0.5000 0.0000
0.2484 0.5000 0.2230
0.2516 0.0000 0.7770
0.7484 0.0000 0.2230
0.7516 0.5000 0.7770
0.0000 0.5000 0.5000
0.5000 0.0000 0.5000
```

Formation energy (no corrections) (eV per formula unit): -0.1
Crystal system: monoclinic
Symmetry: C2/m (12)